Density functional theory data (PBE) for a relaxed Li12Mg5Ga2 crystal.

Results
Uncorrected energy   -38.49 eV per cell
Density of states at the Fermi level   9.95 states/eV/f.u.
Formation enthalpy at 0 K   -1.8 kcal/mol of atoms

Cell lengths 7.633, 7.689, 7.168 Å; angles 90.71, 90.00, 119.76 degrees
Positions (direct):
1 Li 0.082 0.164 0.896
2 Li 0.665 0.713 0.761
3 Li 0.453 0.905 0.675
4 Li 0.335 0.287 0.239
5 Li 0.918 0.836 0.104
6 Li 0.547 0.095 0.325
7 Li 0.048 0.713 0.761
8 Li 0.585 0.757 0.317
9 Li 0.828 0.243 0.683
10 Li 0.415 0.243 0.683
11 Li 0.952 0.287 0.239
12 Li 0.172 0.757 0.317
13 Mg 0.000 0.000 0.500
14 Mg 0.302 0.604 0.995
15 Mg 0.242 0.484 0.551
16 Mg 0.698 0.396 0.005
17 Mg 0.758 0.516 0.449
18 Ga 0.324 0.000 0.000
19 Ga 0.676 0.000 0.000

---

Density functional theory data (PBE) for a relaxed Rb2Tl2PbCl6 crystal.

Results
Formation energy from raw total energies   -1.395 eV/atom
Uncorrected energy   -36.80 eV per cell
Density of states at the Fermi level   0.00 states/eV/f.u.

Cell lengths 7.918, 7.918, 7.776 Å; angles 100.25, 100.25, 117.01 degrees
Positions (direct):
1 Cl 0.623 0.936 0.273
2 Cl 0.936 0.623 0.273
3 Cl 0.377 0.064 0.727
4 Cl 0.204 0.204 0.258
5 Cl 0.064 0.377 0.727
6 Cl 0.796 0.796 0.742
7 Rb 0.658 0.342 0.500
8 Rb 0.342 0.658 0.500
9 Tl 0.824 0.176 0.000
10 Tl 0.176 0.824 0.000
11 Pb 0.000 0.000 0.500

---

Density functional theory data (PBE) for a relaxed TbPuAgRh crystal.

Results
Uncorrected energy   -30.40 eV per cell
Density of states at the Fermi level   11.98 states/eV/f.u.
Formation enthalpy at 0 K   -7.1 kcal/mol of atoms

Cell lengths 5.013, 5.013, 5.013 Å; angles 60.00, 60.00, 60.00 degrees
Positions (direct):
1 Pu 0.000 0.000 0.000
2 Ag 0.250 0.250 0.250
3 Tb 0.500 0.500 0.500
4 Rh 0.750 0.750 0.750

---

Density functional theory data (PBE) for a relaxed Tb12Y5In2 crystal.

Results
Uncorrected energy   -93.53 eV per cell
Density of states at the Fermi level   29.54 states/eV/f.u.
Formation enthalpy at 0 K   -0.2 kcal/mol of atoms

Cell lengths 9.215, 8.990, 8.429 Å; angles 91.92, 90.00, 120.83 degrees
Positions (direct):
1 Tb 0.553 0.107 0.326
2 Tb 0.428 0.249 0.662
3 Tb 0.962 0.297 0.238
4 Tb 0.666 0.703 0.762
5 Tb 0.084 0.167 0.887
6 Tb 0.572 0.751 0.338
7 Tb 0.179 0.751 0.338
8 Tb 0.447 0.893 0.674
9 Tb 0.916 0.833 0.113
10 Tb 0.821 0.249 0.662
11 Tb 0.334 0.297 0.238
12 Tb 0.038 0.703 0.762
13 In 0.678 0.000 0.000
14 In 0.322 0.000 0.000
15 Y 0.000 0.000 0.500
16 Y 0.690 0.380 0.007
17 Y 0.234 0.469 0.580
18 Y 0.766 0.531 0.420
19 Y 0.310 0.620 0.993

---

Density functional theory data (PBE) for a relaxed Tb8PmIr6 crystal.

Results
Uncorrected energy   -106.10 eV per cell
Density of states at the Fermi level   10.42 states/eV/f.u.
Formation enthalpy at 0 K   -17.1 kcal/mol of atoms

Cell lengths 7.714, 7.714, 7.714 Å; angles 65.51, 65.51, 65.51 degrees
Positions (direct):
1 Tb 0.890 0.223 0.550
2 Tb 0.334 0.334 0.334
3 Tb 0.666 0.666 0.666
4 Tb 0.450 0.110 0.777
5 Tb 0.550 0.890 0.223
6 Tb 0.110 0.777 0.450
7 Tb 0.223 0.550 0.890
8 Tb 0.777 0.450 0.110
9 Ir 0.608 0.278 0.942
10 Ir 0.278 0.942 0.608
11 Ir 0.722 0.058 0.392
12 Ir 0.942 0.608 0.278
13 Ir 0.392 0.722 0.058
14 Ir 0.058 0.392 0.722
15 Pm 0.000 0.000 0.000

---

Density functional theory data (PBE) for a relaxed Mg2Zr2Ag crystal.

Results
Uncorrected energy   -44.71 eV per cell
Density of states at the Fermi level   7.05 states/eV/f.u.
Formation enthalpy at 0 K   3.6 kcal/mol of atoms
Energy relative to the lowest polymorph listed for this composition   0.270 eV/atom

Cell lengths 6.720, 6.720, 4.765 Å; angles 90.00, 90.00, 90.00 degrees
Positions (direct):
1 Mg 0.641 0.141 0.000
2 Mg 0.141 0.359 0.000
3 Mg 0.359 0.859 0.000
4 Mg 0.859 0.641 0.000
5 Ag 0.000 0.000 0.000
6 Ag 0.500 0.500 0.000
7 Zr 0.333 0.167 0.500
8 Zr 0.833 0.333 0.500
9 Zr 0.667 0.833 0.500
10 Zr 0.167 0.667 0.500

---

> What is the formula in the third record?

TbPuAgRh

---

> Among the records above, which one has the highest uncorrected energy?

TbPuAgRh